Density functional theory data (GGA-PBE) for an optimized crystal structure of La2TcRu.

Computed properties:
- Distance to the lowest polymorph of the same formula: 0 meV/atom
- DOS at the Fermi energy: 0.8718 states/eV per atom
- Energy of formation from the pure elements: -0.011 eV/atom

a = 4.6472 Å, b = 4.2840 Å, c = 5.7571 Å
α = 90.00°, β = 113.70°, γ = 90.00°
Space group Pm (No. 6)
Symmetry-distinct sites (fractional):
La  0.0000  0.0000  0.0000 [1 per cell]
La  0.2965  0.5000  0.5906 [1 per cell]
Tc  0.5953  0.5000  0.1949 [1 per cell]
Ru  0.7030  0.0000  0.3994 [1 per cell]


Density functional theory data (GGA-PBE) for an optimized crystal structure of ErZrAu4.

Computed properties:
- DOS at the Fermi energy: 0.3761 states/eV per atom
- Energy of formation from the pure elements: -0.727 eV/atom

a = 3.6596 Å, b = 3.6596 Å, c = 8.9335 Å
α = 90.00°, β = 90.00°, γ = 90.00°
Space group P4/mmm (No. 123)
Symmetry-distinct sites (fractional):
Er  0.0000  0.0000  0.0000 [1 per cell]
Zr  0.5000  0.5000  0.5000 [1 per cell]
Au  0.0000  0.0000  0.3378 [2 per cell]
Au  0.5000  0.5000  0.1704 [2 per cell]


Density functional theory data (GGA-PBE) for an optimized crystal structure of CsLaPt3.

Computed properties:
- Distance to the lowest polymorph of the same formula: 688 meV/atom
- DOS at the Fermi energy: 0.6405 states/eV per atom
- Energy of formation from the pure elements: 1.041 eV/atom

a = 5.2356 Å, b = 5.2356 Å, c = 5.2356 Å
α = 90.00°, β = 90.00°, γ = 90.00°
Space group Pm-3m (No. 221)
Symmetry-distinct sites (fractional):
Cs  0.0000  0.0000  0.0000 [1 per cell]
La  0.5000  0.5000  0.5000 [1 per cell]
Pt  0.0000  0.0000  0.5000 [3 per cell]


Density functional theory data (GGA-PBE) for an optimized crystal structure of CdCu2Br.

Computed properties:
- Distance to the lowest polymorph of the same formula: 215 meV/atom
- DOS at the Fermi energy: 0.1860 states/eV per atom

a = 3.5778 Å, b = 3.7632 Å, c = 6.2443 Å
α = 90.00°, β = 90.00°, γ = 90.00°
Space group Pmmm (No. 47)
Symmetry-distinct sites (fractional):
Cd  0.0000  0.0000  0.0000 [1 per cell]
Cu  0.0000  0.5000  0.5000 [1 per cell]
Cu  0.5000  0.5000  0.0000 [1 per cell]
Br  0.5000  0.0000  0.5000 [1 per cell]


Density functional theory data (GGA-PBE) for an optimized crystal structure of Ce2HfPa.

Computed properties:
- Distance to the lowest polymorph of the same formula: 0 meV/atom
- DOS at the Fermi energy: 2.1009 states/eV per atom
- Energy of formation from the pure elements: 0.099 eV/atom

a = 3.1860 Å, b = 3.1860 Å, c = 9.9100 Å
α = 90.00°, β = 90.00°, γ = 90.00°
Space group P4/mmm (No. 123)
Symmetry-distinct sites (fractional):
Ce  0.0000  0.0000  0.2498 [2 per cell]
Hf  0.5000  0.5000  0.0000 [1 per cell]
Pa  0.5000  0.5000  0.5000 [1 per cell]


Density functional theory data (GGA-PBE) for an optimized crystal structure of KP2Se.

Computed properties:
- Total energy: -3.598 eV per atom
- DOS at the Fermi energy: 0.4766 states/eV per atom

a = 3.3927 Å, b = 5.5319 Å, c = 9.5312 Å
α = 90.00°, β = 90.00°, γ = 90.00°
Space group Immm (No. 71)
Symmetry-distinct sites (fractional):
K  0.0000  0.0000  0.0000 [2 per cell]
P  0.0000  0.5000  0.2003 [4 per cell]
Se  0.0000  0.0000  0.5000 [2 per cell]


Density functional theory data (GGA-PBE) for an optimized crystal structure of SrIn.

Computed properties:
- DOS at the Fermi energy: 0.9863 states/eV per atom
- Energy of formation from the pure elements: -0.193 eV/atom

a = 4.1792 Å, b = 4.1792 Å, c = 5.0642 Å
α = 90.00°, β = 90.00°, γ = 120.00°
Space group P-6m2 (No. 187)
Symmetry-distinct sites (fractional):
Sr  0.0000  0.0000  0.0000 [1 per cell]
In  0.3333  0.6667  0.5000 [1 per cell]


Density functional theory data (GGA-PBE) for an optimized crystal structure of Rh4SeCl.

Computed properties:
- Total energy: -5.043 eV per atom
- DOS at the Fermi energy: 1.8723 states/eV per atom

a = 7.4119 Å, b = 7.4119 Å, c = 7.4119 Å
α = 90.00°, β = 90.00°, γ = 90.00°
Space group F-43m (No. 216)
Symmetry-distinct sites (fractional):
Rh  0.1244  0.1244  0.1244 [16 per cell]
Se  0.2500  0.2500  0.7500 [4 per cell]
Cl  0.0000  0.0000  0.5000 [4 per cell]


Density functional theory data (GGA-PBE) for an optimized crystal structure of K3U2O7.

Computed properties:
- Distance to the lowest polymorph of the same formula: 39 meV/atom
- DOS at the Fermi energy: 0.5932 states/eV per atom

a = 4.3529 Å, b = 22.8985 Å, c = 4.3154 Å
α = 90.00°, β = 90.00°, γ = 90.00°
Space group Cmmm (No. 65)
Symmetry-distinct sites (fractional):
K  0.0000  0.0000  0.0000 [2 per cell]
K  0.0000  0.1837  0.0000 [4 per cell]
U  0.0000  0.4058  0.5000 [4 per cell]
O  0.0000  0.0928  0.5000 [4 per cell]
O  0.0000  0.3201  0.5000 [4 per cell]
O  0.0000  0.4070  0.0000 [4 per cell]
O  0.0000  0.5000  0.5000 [2 per cell]


Density functional theory data (GGA-PBE) for an optimized crystal structure of As2PdAuSe.

Computed properties:
- Distance to the lowest polymorph of the same formula: 0 meV/atom
- DOS at the Fermi energy: 0.7368 states/eV per atom

a = 4.8064 Å, b = 4.8064 Å, c = 5.0803 Å
α = 90.00°, β = 90.00°, γ = 90.00°
Space group P4/mmm (No. 123)
Symmetry-distinct sites (fractional):
As  0.0000  0.5000  0.0000 [2 per cell]
Pd  0.0000  0.0000  0.0000 [1 per cell]
Au  0.5000  0.5000  0.5000 [1 per cell]
Se  0.0000  0.0000  0.5000 [1 per cell]


Density functional theory data (GGA-PBE) for an optimized crystal structure of CaRh2W.

Computed properties:
- Distance to the lowest polymorph of the same formula: 324 meV/atom
- DOS at the Fermi energy: 0.9973 states/eV per atom
- Energy of formation from the pure elements: 0.174 eV/atom

a = 2.9347 Å, b = 2.9347 Å, c = 27.2589 Å
α = 90.00°, β = 90.00°, γ = 120.00°
Space group R-3m (No. 166, hexagonal axes)
Symmetry-distinct sites (fractional):
Ca  0.0000  0.0000  0.0000 [3 per cell]
Rh  0.0000  0.0000  0.2438 [6 per cell]
W  0.0000  0.0000  0.5000 [3 per cell]


Density functional theory data (GGA-PBE) for an optimized crystal structure of H2RuW2.

Computed properties:
- Distance to the lowest polymorph of the same formula: 229 meV/atom
- DOS at the Fermi energy: 0.3788 states/eV per atom

a = 6.0836 Å, b = 6.0836 Å, c = 2.8098 Å
α = 90.00°, β = 90.00°, γ = 90.00°
Space group P4/mbm (No. 127)
Symmetry-distinct sites (fractional):
H  0.1288  0.3712  0.0000 [4 per cell]
Ru  0.0000  0.0000  0.0000 [2 per cell]
W  0.1504  0.6504  0.5000 [4 per cell]


Among the records above, which one has the lowest DOS at the Fermi energy? CdCu2Br


Look up the DOS at the Fermi energy of the eighth one. 1.8723 states/eV per atom